## YNiIO2 (PBE+U)

Data for YNiIO2 after structural relaxation.

Geometry as CIF:
```
data_YNiIO2
_chemical_formula_sum 'Y1 Ni1 I1 O2'
_cell_length_a 4.253
_cell_length_b 4.253
_cell_length_c 6.525
_cell_angle_alpha 90.00
_cell_angle_beta 90.00
_cell_angle_gamma 90.00
_symmetry_space_group_name_H-M 'P 4/m m m'
_symmetry_Int_Tables_number 123
_symmetry_space_group_name_Hall '-P 4 2'
loop_
_atom_site_label
_atom_site_type_symbol
_atom_site_fract_x
_atom_site_fract_y
_atom_site_fract_z
_atom_site_occupancy
Y1 Y 0.000 0.000 0.000 1
Ni1 Ni 0.500 0.500 0.500 1
I1 I 0.000 0.000 0.500 1
O1 O 0.000 0.500 0.000 1
```

As for the energy above the most stable polymorph in this dataset: 0 meV/atom. The calculation puts the total energy at -5.094 eV/atom.